No. 1
Pu3P2S PBE optimized geometry; space-group type = C2/c; total magnetic moment = 31.49 μB/cell; raw formation energy = -1.379 eV per atom
1.0
6.922 0.198 0.341
-1.339 6.790 -0.249
-1.339 -3.583 5.773
Pu S P
6 2 4
Cartesian
1.454 1.641 4.819
2.792 -1.692 3.057
-2.008 3.272 3.643
2.792 1.764 1.046
6.253 0.133 2.221
-0.669 3.395 -0.125
0.392 2.519 2.344
3.853 0.886 3.520
3.853 -2.569 5.526
0.392 -0.935 4.349
0.392 5.974 0.338
3.853 4.340 1.515

---

No. 2
Pu4PS3 PBE optimized geometry; space-group type = Pm-3m; total magnetic moment = 10.44 μB/cell; raw formation energy = -1.598 eV per atom
1.0
-0.197 4.896 2.735
-4.204 1.683 -3.315
-3.713 -2.166 3.608
P Pu S
1 4 3
Cartesian
0.000 0.000 0.000
-2.102 0.841 -1.658
-4.057 2.207 1.514
-1.856 -1.083 1.804
-0.099 2.448 1.368
-1.955 1.365 3.172
-3.958 -0.242 0.146
-2.201 3.290 -0.290

---

No. 3
Pu8P4S3 PBE optimized geometry; space-group type = C2/m; total magnetic moment = 0.70 μB/cell; raw formation energy = -1.218 eV per atom
1.0
-2.710 -5.796 -4.707
7.351 2.689 -0.919
1.488 -1.484 7.596
Pu S P
8 3 4
Cartesian
4.527 -1.254 -1.140
1.601 -3.337 3.109
2.977 -0.424 5.433
-0.461 -5.478 -3.003
0.839 -2.551 -0.673
6.590 0.887 4.972
5.862 1.629 1.243
5.289 -2.040 2.642
3.064 -2.296 0.985
2.320 -1.553 -2.813
-0.611 -3.640 1.444
0.000 0.000 0.000
0.744 -0.742 3.798
3.675 1.345 -0.460
-1.355 -2.898 -2.354

---

No. 4
Pu4PS3 PBE optimized geometry; space-group type = Cmmm; total magnetic moment = 0.15 μB/cell; raw formation energy = -1.590 eV per atom
1.0
-1.199 -0.244 -3.769
6.215 2.079 -2.111
-0.132 -6.867 0.486
S Pu P
3 4 1
Cartesian
-0.066 -3.433 0.243
3.108 1.039 -1.055
2.443 -2.516 -2.697
4.036 -0.270 -3.349
0.849 -4.762 -2.045
4.562 -3.591 -1.219
1.522 -1.198 -0.406
-0.599 -0.122 -1.884

---

No. 5
Pu8P5S3 PBE optimized geometry; space-group type = R-3m; total magnetic moment = 42.13 μB/cell; raw formation energy = -1.403 eV per atom
1.0
-1.118 6.458 4.588
-5.769 0.019 5.543
1.906 -0.226 7.759
Pu S P
8 3 5
Cartesian
-4.133 1.579 7.241
-3.169 1.459 11.125
-4.691 4.802 9.530
-0.849 4.672 10.649
-3.728 4.684 13.426
-1.254 1.568 4.464
-1.812 4.792 6.764
-0.291 1.450 8.359
0.953 -0.113 3.879
0.394 3.116 6.173
-1.932 -0.103 6.651
-2.885 0.009 2.772
-3.444 3.239 5.065
-0.559 3.229 2.294
0.000 0.000 0.000
-2.491 3.126 8.945

---

No. 6
Pu3P2S PBE optimized geometry; space-group type = Immm; total magnetic moment = 15.74 μB/cell; raw formation energy = -1.379 eV per atom
1.0
-2.453 -3.050 0.838
4.410 -3.064 1.763
-1.723 5.183 4.258
P Pu S
2 3 1
Cartesian
1.708 -0.112 4.593
-1.474 -0.818 2.267
0.730 -2.346 3.158
0.000 0.000 0.000
-0.496 1.416 3.701
2.205 -1.532 0.881

---

No. 7
Pu3PS2 PBE optimized geometry; space-group type = Immm; total magnetic moment = 16.34 μB/cell; raw formation energy = -1.582 eV per atom
1.0
3.840 0.000 -1.088
-0.590 5.202 -2.082
-0.122 -0.307 6.890
P S Pu
1 2 3
Cartesian
-0.295 2.601 -1.041
0.708 4.131 2.500
2.420 0.763 1.221
1.003 1.530 3.538
2.125 3.365 0.182
0.000 0.000 0.000

---

No. 8
PuPS PBE optimized geometry; space-group type = I4/mmm; total magnetic moment = 9.53 μB/cell; raw formation energy = -1.244 eV per atom
1.0
3.771 0.000 0.000
0.000 3.771 0.000
-1.886 -1.886 8.074
Pu S P
2 2 2
Cartesian
1.886 1.886 2.253
0.000 0.000 5.821
1.886 1.886 5.118
0.000 0.000 2.956
0.000 1.886 0.000
1.886 0.000 0.000

---

No. 9
PuPS2 PBE optimized geometry; space-group type = R-3m; total magnetic moment = 6.30 μB/cell; raw formation energy = -0.060 eV per atom
1.0
3.503 0.000 0.000
1.751 3.033 0.000
1.751 1.011 8.199
P S Pu
1 2 1
Cartesian
3.503 2.022 4.100
5.254 3.033 2.736
1.751 1.011 5.463
0.000 0.000 0.000

---

No. 10
Pu6PS5 PBE optimized geometry; space-group type = C2/m; total magnetic moment = 33.31 μB/cell; raw formation energy = -1.672 eV per atom
1.0
-5.968 -0.086 -3.432
-5.159 1.444 4.328
-1.968 6.530 0.956
P S Pu
1 5 6
Cartesian
0.000 0.000 0.000
-5.155 4.556 -0.359
-2.376 2.658 1.761
-4.751 5.316 3.523
-5.563 0.679 0.448
-7.940 3.332 2.210
-2.779 0.339 0.226
-7.938 4.891 -0.136
-5.157 2.997 1.987
-7.532 5.657 3.748
-8.348 1.018 0.670
-5.563 2.231 -1.897

---

No. 11
Pu3PS6 PBE optimized geometry; space-group type = Cmc2_1; total magnetic moment = 10.09 μB/cell; raw formation energy = -1.183 eV per atom
1.0
6.515 0.000 0.000
0.000 8.595 -0.105
0.000 -2.020 8.354
S Pu P
12 6 2
Cartesian
4.493 4.081 5.704
4.328 6.849 3.381
1.236 4.650 5.251
4.869 8.544 -0.064
1.236 2.494 2.546
4.493 1.925 2.999
4.328 4.807 0.819
1.071 1.767 7.431
1.120 6.080 1.899
1.611 -1.969 8.314
1.071 -0.274 4.869
4.378 0.495 6.350
6.418 0.148 2.273
3.161 2.182 0.651
5.816 4.366 3.265
3.161 6.427 5.977
6.418 4.392 7.599
2.558 2.209 4.984
6.483 0.013 6.735
3.225 6.562 1.515

---

No. 12
Pu2P2S PBE optimized geometry; space-group type = I4/mmm; total magnetic moment = 11.20 μB/cell; raw formation energy = -0.996 eV per atom
1.0
-2.062 -2.452 -1.703
2.002 -2.671 1.422
-4.603 -2.823 5.787
P Pu S
2 2 1
Cartesian
-1.315 -4.028 3.534
-3.348 -3.918 1.971
-3.676 -5.334 4.406
-0.987 -2.613 1.100
0.000 0.000 0.000

---

No. 13
Pu3PS2 PBE optimized geometry; space-group type = C2/c; total magnetic moment = 32.56 μB/cell; raw formation energy = -1.582 eV per atom
1.0
6.895 0.200 0.345
-1.336 6.762 -0.254
-1.336 -3.573 5.747
P S Pu
2 4 6
Cartesian
3.835 0.881 3.507
0.388 2.509 2.331
3.835 4.325 1.507
3.835 -2.561 5.505
0.388 -0.935 4.331
0.388 5.951 0.333
-0.668 3.381 -0.127
2.779 1.758 1.048
6.226 0.139 2.218
1.445 1.632 4.790
-2.003 3.251 3.620
2.779 -1.686 3.046

---

No. 14
Pu3P2S2 PBE optimized geometry; space-group type = C2/m; total magnetic moment = 14.00 μB/cell; raw formation energy = -1.181 eV per atom
1.0
-2.811 1.494 -2.507
-4.635 -4.451 2.545
2.292 5.968 4.260
P Pu S
2 3 2
Cartesian
-0.454 3.754 2.745
-4.700 -0.743 1.553
-2.051 2.708 0.639
-3.103 0.303 3.660
-2.317 -2.226 1.273
-3.908 2.713 2.724
-1.246 0.298 1.575

---

No. 15
PuPS PBE optimized geometry; space-group type = I4mm; total magnetic moment = 4.98 μB/cell; raw formation energy = -0.859 eV per atom
1.0
3.772 0.000 0.000
0.000 3.772 0.000
-1.886 -1.886 4.424
Pu P S
1 1 1
Cartesian
1.886 1.886 1.557
0.000 0.000 2.533
0.000 0.000 0.334

---

No. 16
Pu3PS3 PBE optimized geometry; space-group type = Pm-3m; total magnetic moment = 15.00 μB/cell; raw formation energy = -1.439 eV per atom
1.0
5.549 0.000 0.000
0.000 5.549 0.000
0.000 0.000 5.549
Pu P S
3 1 3
Cartesian
2.775 0.000 2.775
2.775 2.775 0.000
0.000 2.775 2.775
2.775 2.775 2.775
0.000 0.000 2.775
2.775 0.000 0.000
0.000 2.775 0.000

---

No. 17
Pu4P2SeS PBE optimized geometry; space-group type = P2/m; total magnetic moment = 0.00 μB/cell; raw formation energy = -1.374 eV per atom
1.0
-0.996 3.746 -1.061
-3.353 0.829 6.074
4.402 2.530 4.800
Se Pu P S
1 4 2 1
Cartesian
-2.175 2.288 2.507
-1.913 3.143 5.279
0.717 2.508 8.181
-0.664 4.597 1.632
1.966 3.963 4.533
4.402 2.530 4.800
1.703 3.138 1.869
0.524 1.679 5.437

---

No. 18
SrPuP2S8 PBE optimized geometry; space-group type = P-3; total magnetic moment = 3.99 μB/cell; raw formation energy = -0.759 eV per atom
1.0
-2.919 5.254 -0.639
-0.216 -2.956 5.268
7.418 4.463 2.808
S P Sr Pu
8 2 1 1
Cartesian
3.081 4.593 4.999
5.057 2.092 3.753
3.930 1.935 6.981
0.353 4.826 0.456
1.202 2.168 2.437
6.167 4.163 6.056
-0.774 4.669 3.683
-1.884 2.598 1.380
4.538 3.183 5.439
-0.255 3.578 1.997
0.000 0.000 0.000
3.709 2.231 1.404

---

No. 19
Pu4TePS2 PBE optimized geometry; space-group type = P2/m; total magnetic moment = 22.31 μB/cell; raw formation energy = -1.404 eV per atom
1.0
-3.442 2.123 -0.668
-1.696 -4.405 -5.260
-3.861 -5.440 2.602
Pu S Te P
4 2 1 1
Cartesian
-4.886 -0.372 -1.157
-4.023 -3.711 -3.640
-4.112 -7.350 -2.169
-4.975 -4.010 0.314
-3.651 -1.659 0.967
-3.861 -5.440 2.602
-6.430 -6.581 -0.362
-2.778 -4.922 -1.329

---

No. 20
Pu8Te4PS3 PBE optimized geometry; space-group type = R-3m; total magnetic moment = 45.91 μB/cell; raw formation energy = -1.340 eV per atom
1.0
8.374 0.000 0.000
0.000 8.477 0.068
-4.187 -4.183 5.923
Pu Te S P
8 4 3 1
Cartesian
-2.100 1.971 5.835
4.187 0.225 3.127
2.100 1.971 5.835
0.000 0.231 3.122
0.000 4.069 2.864
2.087 2.323 0.156
4.187 4.063 2.869
6.287 2.323 0.156
2.093 -2.091 2.962
4.187 0.000 0.000
0.000 0.000 0.000
-2.093 -2.091 2.962
4.187 4.238 0.034
2.093 2.147 2.996
-2.093 2.147 2.996
0.000 4.238 0.034